# GGA+U Na2SbMoO6, relaxed
# calculated total energy = -59.285 eV per cell
# spin magnetization = 0.0 μB per formula unit
# DOS at the Fermi energy = 0.89 states/eV per cell
data_Na2SbMoO6
_symmetry_space_group_name_H-M 'P 4 m m'
_symmetry_Int_Tables_number 99
_symmetry_space_group_name_Hall 'P 4 -2'
_cell_length_a 5.6654
_cell_length_b 5.6654
_cell_length_c 4.1079
_cell_angle_alpha 90.00
_cell_angle_beta 90.00
_cell_angle_gamma 90.00
loop_
_atom_site_label
_atom_site_type_symbol
_atom_site_fract_x
_atom_site_fract_y
_atom_site_fract_z
_atom_site_occupancy
Na1 Na 0.0000 0.5000 0.0000 1
Sb1 Sb 0.0000 0.0000 0.5751 1
Mo1 Mo 0.5000 0.5000 0.5341 1
O1 O 0.0000 0.0000 0.0790 1
O2 O 0.2622 0.2622 0.6121 1
O3 O 0.5000 0.5000 0.0963 1